# PBEsol Ho2CoRu, relaxed
# Total magnetization = 0.00 μB per atom
# DOS(E_F) = 0.59 states/eV/atom
# E_tot = -115.13 eV per cell
# Energy of formation from the pure elements = -243 meV per atom
data_Ho2CoRu
_chemical_formula_sum 'Ho8 Co4 Ru4'
_cell_length_a 6.583
_cell_length_b 6.583
_cell_length_c 6.583
_cell_angle_alpha 90.00
_cell_angle_beta 90.00
_cell_angle_gamma 90.00
_space_group_name_H-M_alt 'F m -3 m'
_space_group_IT_number 225
_space_group_name_Hall '-F 4 2 3'
loop_
_atom_site_label
_atom_site_type_symbol
_atom_site_fract_x
_atom_site_fract_y
_atom_site_fract_z
_atom_site_occupancy
Ho1 Ho 0.250 0.250 0.250 1
Co1 Co 0.000 0.000 0.000 1
Ru1 Ru 0.000 0.000 0.500 1